DFT (PBE) results for a relaxed structure of Dy6Tm3Sc2.

Cell: 4.6761 4.6761 16.2066 Å, 98.29 98.29 90.00°
Closest atoms and distances in Å follow each position.
Element x y z (fractional)
Dy (0.1161, 0.6162, 0.2323)  2 Sc 3.28, 6 Dy 3.31-3.42, 2 Tm 3.49
Dy (0.6161, 0.1162, 0.2323)  2 Sc 3.28, 6 Dy 3.31-3.42, 2 Tm 3.49
Dy (0.8839, 0.3839, 0.7677)  2 Sc 3.28, 6 Dy 3.31-3.42, 2 Tm 3.49
Dy (0.3839, 0.8838, 0.7677)  2 Sc 3.28, 6 Dy 3.31-3.42, 2 Tm 3.49
Dy (0.6946, 0.6946, 0.3893)  5 Tm 3.31-3.41, 4 Dy 3.42
Dy (0.3054, 0.3054, 0.6107)  5 Tm 3.31-3.41, 4 Dy 3.42
Tm (0.0000, 0.0000, 0.0000)  8 Sc 3.58
Tm (0.8020, 0.8020, 0.6041)  9 Dy 3.31-3.49
Tm (0.1980, 0.1980, 0.3959)  9 Dy 3.31-3.49
Sc (0.4564, 0.4564, 0.9129)  1 Sc 2.76
Sc (0.5436, 0.5436, 0.0871)  1 Sc 2.76

Calculated values
Calculated total energy   -4.568 eV per atom
Calculated formation energy   0.3128 eV/atom
Distance to the lowest polymorph of the same formula   275 meV per atom

***

DFT (PBE) results for a relaxed structure of Dy3Tm2Sc4.

Cell: 5.7681 10.7752 10.7752 Å, 61.72 63.43 63.43°
Closest atoms and distances in Å follow each position.
Element x y z (fractional)
Dy (0.7828, 0.0611, 0.2631)  7 Sc 3.20-3.48, 2 Tm 3.37-3.40
Dy (0.7172, 0.7369, 0.9389)  7 Sc 3.20-3.48, 2 Tm 3.37-3.40
Dy (0.2172, 0.9389, 0.7369)  7 Sc 3.20-3.48, 2 Tm 3.37-3.40
Dy (0.2828, 0.2631, 0.0611)  7 Sc 3.20-3.48, 2 Tm 3.37-3.40
Dy (0.2500, 0.6086, 0.3914)  4 Sc 3.30-3.55, 6 Tm 3.35-3.60
Dy (0.7500, 0.3914, 0.6086)  4 Sc 3.30-3.55, 6 Tm 3.35-3.60
Tm (0.4423, 0.2393, 0.5088)  4 Sc 3.23-3.40, 5 Dy 3.35-3.60
Tm (0.0577, 0.4912, 0.7607)  4 Sc 3.23-3.40, 5 Dy 3.35-3.60
Tm (0.5577, 0.7607, 0.4912)  4 Sc 3.23-3.40, 5 Dy 3.35-3.60
Tm (0.9423, 0.5088, 0.2393)  4 Sc 3.23-3.40, 5 Dy 3.35-3.60
Sc (0.4345, 0.9112, 0.1784)  3 Sc 3.12-3.31, 4 Dy 3.20-3.31, 1 Tm 3.23
Sc (0.0655, 0.8216, 0.0888)  3 Sc 3.12-3.31, 4 Dy 3.20-3.31, 1 Tm 3.23
Sc (0.5655, 0.0888, 0.8216)  3 Sc 3.12-3.31, 4 Dy 3.20-3.31, 1 Tm 3.23
Sc (0.9345, 0.1784, 0.9112)  3 Sc 3.12-3.31, 4 Dy 3.20-3.31, 1 Tm 3.23
Sc (0.1031, 0.1366, 0.4156)  1 Sc 3.08, 3 Dy 3.21-3.37, 3 Tm 3.26-3.40
Sc (0.3969, 0.5844, 0.8634)  1 Sc 3.08, 3 Dy 3.21-3.37, 3 Tm 3.26-3.40
Sc (0.8969, 0.8634, 0.5844)  1 Sc 3.08, 3 Dy 3.21-3.37, 3 Tm 3.26-3.40
Sc (0.6031, 0.4156, 0.1366)  1 Sc 3.08, 3 Dy 3.21-3.37, 3 Tm 3.26-3.40

Calculated values
Calculated total energy   -5.223 eV per atom
Calculated formation energy   0.1183 eV/atom

***

DFT (PBE) results for a relaxed structure of Dy2TmSc.

Cell: 3.4678 5.9769 9.1435 Å, 122.90 124.71 90.04°
Closest atoms and distances in Å follow each position.
Element x y z (fractional)
Dy (0.1297, 0.6358, 0.2727)  3 Sc 3.42-3.48, 5 Dy 3.43-3.49, 4 Tm 3.43-3.48
Dy (0.3906, 0.8901, 0.7798)  5 Dy 3.43-3.49, 3 Tm 3.44-3.49, 4 Sc 3.45-3.46
Tm (0.6494, 0.1427, 0.2858)  3 Sc 3.42-3.48, 7 Dy 3.43-3.49, 2 Tm 3.47
Sc (0.8888, 0.3898, 0.7786)  3 Tm 3.42-3.48, 7 Dy 3.42-3.48, 2 Sc 3.47

Calculated values
Calculated total energy   -4.959 eV per atom
Calculated formation energy   0.0432 eV/atom
Distance to the lowest polymorph of the same formula   11 meV per atom

***

| no. | total magnetization (μB per cell) | ρ (g cm⁻³) |
| --- | --- | --- |
| 1 | 0.001 | 7.52 |
| 2 | 0.001 | 6.63 |
| 3 | 0.000 | 7.66 |